NbBiS, optimized geometry, DFT PBE; M_tot = 0.0 μB/cell; E_tot = -38.82 eV for the cell shown; polymorph energy (0 for the lowest one) = 8.1 kJ per mole of atoms; uncorrected formation energy = -42.9 kJ/mol of atoms
1.0
-1.773 -0.173 -2.606
-3.570 -3.176 5.429
-1.994 6.410 2.875
S Bi Nb
2 2 2
Cartesian
-2.351 0.843 2.063
-4.762 -0.699 3.806
-5.441 2.737 5.922
-3.000 4.295 4.215
-4.031 -0.909 1.411
-4.236 1.543 3.296